[1]
## NaLaO2F (PBE)

Data for NaLaO2F after structural relaxation.

Geometry as CIF:
```
data_NaLaO2F
_chemical_formula_sum 'Na1 La1 O2 F1'
_cell_length_a 4.532
_cell_length_b 4.532
_cell_length_c 4.779
_cell_angle_alpha 90.00
_cell_angle_beta 90.00
_cell_angle_gamma 90.00
_symmetry_space_group_name_H-M 'P 1'
_symmetry_Int_Tables_number 1
loop_
_symmetry_equiv_pos_as_xyz
'x,y,z'
loop_
_atom_site_label
_atom_site_type_symbol
_atom_site_fract_x
_atom_site_fract_y
_atom_site_fract_z
Na1 Na 0.500 0.500 0.500
F1 F 0.000 0.000 0.500
O1 O 0.000 0.500 0.000
O2 O 0.500 0.000 0.000
La1 La 0.000 0.000 0.000
```

## Properties
Calculated density (g/cm3): 3.60
Space-group type: P4/mmm, No. 123
E_form (uncorrected) (eV per atom): -2.3866

***

[2]
## NaLaO2F (PBE)

Data for NaLaO2F after structural relaxation.

Geometry as CIF:
```
data_NaLaO2F
_chemical_formula_sum 'Na1 La1 O2 F1'
_cell_length_a 4.127
_cell_length_b 4.127
_cell_length_c 3.943
_cell_angle_alpha 90.00
_cell_angle_beta 90.00
_cell_angle_gamma 90.00
_symmetry_space_group_name_H-M 'P 1'
_symmetry_Int_Tables_number 1
loop_
_symmetry_equiv_pos_as_xyz
'x,y,z'
loop_
_atom_site_label
_atom_site_type_symbol
_atom_site_fract_x
_atom_site_fract_y
_atom_site_fract_z
Na1 Na 0.000 0.000 0.000
F1 F 0.000 0.000 0.500
O1 O 0.000 0.500 0.000
O2 O 0.500 0.000 0.000
La1 La 0.500 0.500 0.500
```

## Properties
Calculated density (g/cm3): 5.26
Space-group type: P4/mmm, No. 123
E_form (uncorrected) (eV per atom): -2.1155